Record 1
Pm8SbC4 | PBE | relaxed

## Properties
DOS at the Fermi energy = 0.7991 states/eV per atom
energy relative to the elements, uncorrected = -108 meV/atom
density = 6.275 g/cm³

a = 7.925 Å, b = 7.925 Å, c = 7.925 Å
α = 60.00°, β = 60.00°, γ = 60.00°
Positions (direct):
Pm (0.397, 0.397, 0.397)
Pm (0.397, 0.397, 0.808)
Pm (0.397, 0.808, 0.397)
Pm (0.420, 0.860, 0.860)
Pm (0.808, 0.397, 0.397)
Pm (0.860, 0.420, 0.860)
Pm (0.860, 0.860, 0.420)
Pm (0.860, 0.860, 0.860)
Sb (0.250, 0.250, 0.250)
C (0.111, 0.630, 0.630)
C (0.630, 0.111, 0.630)
C (0.630, 0.630, 0.111)
C (0.630, 0.630, 0.630)

Record 2
Pm6SbC2 | PBE | relaxed

## Properties
DOS at the Fermi energy = 0.9496 states/eV per atom
energy relative to the elements, uncorrected = -165 meV/atom
density = 6.782 g/cm³

a = 8.976 Å, b = 8.976 Å, c = 6.879 Å
α = 95.98°, β = 95.98°, γ = 64.75°
Positions (direct):
Pm (0.025, 0.756, 0.824)
Pm (0.031, 0.369, 0.682)
Pm (0.244, 0.975, 0.676)
Pm (0.336, 0.398, 0.089)
Pm (0.369, 0.031, 0.182)
Pm (0.398, 0.336, 0.589)
Pm (0.602, 0.664, 0.411)
Pm (0.631, 0.969, 0.818)
Pm (0.664, 0.602, 0.911)
Pm (0.756, 0.025, 0.324)
Pm (0.969, 0.631, 0.318)
Pm (0.975, 0.244, 0.176)
Sb (0.177, 0.823, 0.250)
Sb (0.823, 0.177, 0.750)
C (0.176, 0.338, 0.347)
C (0.338, 0.176, 0.847)
C (0.662, 0.824, 0.153)
C (0.824, 0.662, 0.653)

Record 3
Pm3SbC | PBE | relaxed

## Properties
energy relative to the lowest polymorph listed for this composition = 208.2 meV per atom
DOS at the Fermi energy = 0.8878 states/eV per atom
energy relative to the elements, uncorrected = -398 meV/atom
density = 6.515 g/cm³

a = 8.519 Å, b = 8.519 Å, c = 8.399 Å
α = 100.54°, β = 100.54°, γ = 28.97°
Positions (direct):
Pm (0.044, 0.044, 0.332)
Pm (0.158, 0.158, 0.939)
Pm (0.324, 0.324, 0.378)
Pm (0.676, 0.676, 0.622)
Pm (0.842, 0.842, 0.061)
Pm (0.956, 0.956, 0.668)
Sb (0.327, 0.327, 0.773)
Sb (0.673, 0.673, 0.227)
C (0.098, 0.098, 0.627)
C (0.902, 0.902, 0.373)

Record 4
Pm5Sb2C2 | PBE | relaxed

## Properties
DOS at the Fermi energy = 0.6561 states/eV per atom
energy relative to the elements, uncorrected = -501 meV/atom
density = 6.608 g/cm³

a = 10.793 Å, b = 10.793 Å, c = 10.793 Å
α = 56.93°, β = 138.34°, γ = 143.00°
Positions (direct):
Pm (0.020, 0.908, 0.612)
Pm (0.247, 0.015, 0.262)
Pm (0.247, 0.485, 0.732)
Pm (0.296, 0.408, 0.388)
Pm (0.678, 0.097, 0.300)
Pm (0.678, 0.878, 0.080)
Pm (0.753, 0.515, 0.268)
Pm (0.753, 0.985, 0.738)
Pm (0.798, 0.378, 0.700)
Pm (0.798, 0.597, 0.920)
Sb (0.222, 0.366, 0.072)
Sb (0.222, 0.650, 0.356)
Sb (0.294, 0.150, 0.928)
Sb (0.294, 0.866, 0.644)
C (0.732, 0.562, 0.670)
C (0.755, 0.255, 0.500)
C (0.755, 0.755, 0.000)
C (0.892, 0.062, 0.330)

Record 5
Pm6Sb5C | PBE | relaxed

## Properties
DOS at the Fermi energy = 0.3817 states/eV per atom
energy relative to the elements, uncorrected = -866 meV/atom
density = 6.980 g/cm³

a = 7.565 Å, b = 7.565 Å, c = 7.558 Å
α = 99.69°, β = 99.69°, γ = 119.53°
Positions (direct):
Pm (0.073, 0.370, 0.723)
Pm (0.219, 0.219, 0.264)
Pm (0.370, 0.073, 0.723)
Pm (0.630, 0.927, 0.277)
Pm (0.781, 0.781, 0.736)
Pm (0.927, 0.630, 0.277)
Sb (0.181, 0.819, 0.000)
Sb (0.336, 0.664, 0.500)
Sb (0.500, 0.500, 0.000)
Sb (0.664, 0.336, 0.500)
Sb (0.819, 0.181, 0.000)
C (0.000, 0.000, 0.500)

Record 6
Pm3SbC | PBE | relaxed

## Properties
energy relative to the lowest polymorph listed for this composition = 0.0 meV per atom
DOS at the Fermi energy = 0.8184 states/eV per atom
energy relative to the elements, uncorrected = -606 meV/atom
density = 7.413 g/cm³

a = 8.490 Å, b = 4.069 Å, c = 14.752 Å
α = 90.00°, β = 90.00°, γ = 90.00°
Positions (direct):
Pm (0.022, 0.250, 0.100)
Pm (0.174, 0.250, 0.506)
Pm (0.208, 0.750, 0.298)
Pm (0.292, 0.250, 0.798)
Pm (0.326, 0.750, 0.006)
Pm (0.478, 0.750, 0.600)
Pm (0.522, 0.250, 0.400)
Pm (0.674, 0.250, 0.994)
Pm (0.708, 0.750, 0.202)
Pm (0.792, 0.250, 0.702)
Pm (0.826, 0.750, 0.494)
Pm (0.978, 0.750, 0.900)
Sb (0.086, 0.750, 0.673)
Sb (0.414, 0.250, 0.173)
Sb (0.586, 0.750, 0.827)
Sb (0.914, 0.250, 0.327)
C (0.159, 0.250, 0.943)
C (0.341, 0.750, 0.443)
C (0.659, 0.250, 0.557)
C (0.841, 0.750, 0.057)